i | This record from Alexandria via LeMat-Bulk describes a relaxed structure of OsCl2O. The functional is PBE-GGA.

Cell lengths 6.8490, 6.8490, 6.8490 Å; angles 149.28, 148.42, 44.64 degrees
Last column: nearest neighbours and their distance in Å.
Sites, in units of the cell vectors:
Os 0.0000 0.0000 0.0000  2 O 1.86
Cl 0.8750 0.3750 0.5000  2 Os 2.41
Cl 0.1250 0.6250 0.5000  2 Os 2.41
O 0.5000 0.0000 0.5000  2 Os 1.86

Computed properties:
As for the total magnetization: 0.00 μB per formula unit.

---

ii | This record from Alexandria via LeMat-Bulk describes a relaxed structure of OsCl2O. The functional is PBE-GGA.

Cell lengths 9.8170, 9.8170, 9.8170 Å; angles 16.65, 16.65, 16.65 degrees
Last column: nearest neighbours and their distance in Å.
Sites, in units of the cell vectors:
Cl 0.9237 0.9237 0.9237  1 Os 2.21
Cl 0.0763 0.0763 0.0763  1 Os 2.21
Os 0.0000 0.0000 0.0000  2 Cl 2.21
O 0.5000 0.5000 0.5000  6 O 2.84, 6 Cl 3.10

Computed properties:
As for the total magnetization: 0.00 μB per formula unit.

---

iii | This record from Alexandria via LeMat-Bulk describes a relaxed structure of OsCl2O. The functional is PBE-GGA.

Cell lengths 6.1073, 6.1073, 5.6924 Å; angles 57.56, 57.56, 90.00 degrees
Last column: nearest neighbours and their distance in Å.
Sites, in units of the cell vectors:
O 0.2500 0.7500 0.5000  4 Cl 2.44
O 0.5000 0.5000 0.0000  4 Cl 2.44
Os 0.0000 0.0000 0.0000  4 Cl 2.26
Os 0.7500 0.2500 0.5000  4 Cl 2.26
Cl 0.6477 0.1250 0.2500  2 Os 2.26, 2 O 2.44
Cl 0.1023 0.6250 0.2500  2 Os 2.26, 2 O 2.44
Cl 0.3750 0.3523 0.7500  2 Os 2.26, 2 O 2.44
Cl 0.8750 0.8977 0.7500  2 Os 2.26, 2 O 2.44

Computed properties:
As for the total magnetization: 0.00 μB per formula unit.

---

iv | This record from Alexandria via LeMat-Bulk describes a relaxed structure of OsCl2O. The functional is PBE-GGA.

Cell lengths 4.2086, 4.2086, 4.2086 Å; angles 60.00, 60.00, 60.00 degrees
Last column: nearest neighbours and their distance in Å.
Sites, in units of the cell vectors:
Cl 0.7500 0.7500 0.7500  4 Os 2.58, 4 O 2.58
Cl 0.2500 0.2500 0.2500  4 O 2.58, 4 Os 2.58
Os 0.5000 0.5000 0.5000  8 Cl 2.58
O 0.0000 0.0000 0.0000  8 Cl 2.58

Computed properties:
As for the total magnetization: 0.00 μB per formula unit.

---

Decreasing stability: i, iii, ii, iv

---

i | This record from Alexandria via LeMat-Bulk describes a relaxed structure of PCl2O. The functional is PBE-GGA.

Cell lengths 4.3930, 4.3930, 4.3930 Å; angles 60.00, 60.00, 60.00 degrees
Last column: nearest neighbours and their distance in Å.
Sites, in units of the cell vectors:
Cl 0.2500 0.2500 0.2500  4 O 2.69, 4 P 2.69
Cl 0.7500 0.7500 0.7500  4 P 2.69, 4 O 2.69
P 0.5000 0.5000 0.5000  8 Cl 2.69
O 0.0000 0.0000 0.0000  8 Cl 2.69

Computed properties:
As for the total magnetization: 1.00 μB per formula unit.

---

ii | This record from Alexandria via LeMat-Bulk describes a relaxed structure of PCl2O. The functional is PBE-GGA.

Cell lengths 4.8728, 4.8728, 8.0406 Å; angles 72.36, 72.36, 90.00 degrees
Last column: nearest neighbours and their distance in Å.
Sites, in units of the cell vectors:
Cl 0.8750 0.9223 0.7500  2 P 2.40, 2 O 2.62
Cl 0.0777 0.6250 0.2500  2 P 2.40, 2 O 2.62
Cl 0.3750 0.3277 0.7500  2 P 2.40, 2 O 2.62
Cl 0.6723 0.1250 0.2500  2 P 2.40, 2 O 2.62
O 0.5000 0.5000 0.0000  4 Cl 2.62
O 0.2500 0.7500 0.5000  4 Cl 2.62
P 0.0000 0.0000 0.0000  4 Cl 2.40
P 0.7500 0.2500 0.5000  4 Cl 2.40

Computed properties:
As for the total magnetization: 1.32 μB per formula unit.

---

Decreasing stability: ii, i

---

i | This record from Alexandria via LeMat-Bulk describes a relaxed structure of P2ClO. The functional is PBE-GGA.

Cell lengths 4.2777, 4.2777, 4.2777 Å; angles 60.00, 60.00, 60.00 degrees
Last column: nearest neighbours and their distance in Å.
Sites, in units of the cell vectors:
P 0.7500 0.7500 0.7500  4 Cl 2.62, 4 O 2.62
P 0.2500 0.2500 0.2500  4 O 2.62, 4 Cl 2.62
O 0.0000 0.0000 0.0000  8 P 2.62
Cl 0.5000 0.5000 0.5000  8 P 2.62

Computed properties:
As for the total magnetization: 0.00 μB per formula unit.

---

ii | This record from Alexandria via LeMat-Bulk describes a relaxed structure of P2ClO. The functional is PBE-GGA.

Cell lengths 4.5134, 4.5134, 7.4487 Å; angles 72.36, 72.36, 90.00 degrees
Last column: nearest neighbours and their distance in Å.
Sites, in units of the cell vectors:
Cl 0.0000 0.0000 0.0000  4 P 2.80
Cl 0.7500 0.2500 0.5000  4 P 2.80
O 0.2500 0.7500 0.5000  4 P 2.05
O 0.5000 0.5000 0.0000  4 P 2.05
P 0.4481 0.1250 0.2500  2 O 2.05
P 0.3019 0.6250 0.2500  2 O 2.05
P 0.3750 0.5519 0.7500  2 O 2.05
P 0.8750 0.6981 0.7500  2 O 2.05

Computed properties:
As for the total magnetization: 0.00 μB per formula unit.

---

Decreasing stability: ii, i

---

i | This record from Alexandria via LeMat-Bulk describes a relaxed structure of P2PbClO. The functional is PBE-GGA.

Cell lengths 4.1090, 4.1090, 10.3168 Å; angles 90.00, 90.00, 90.00 degrees
Last column: nearest neighbours and their distance in Å.
Sites, in units of the cell vectors:
Pb 0.5000 0.5000 0.5000  4 Cl 2.91
O 0.0000 0.0000 0.0000  4 P 2.05
P 0.5000 0.0000 0.0000  2 O 2.05
P 0.0000 0.5000 0.0000  2 O 2.05
Cl 0.0000 0.0000 0.5000  4 Pb 2.91

Computed properties:
As for the total magnetization: 0.09 μB per formula unit.

---

ii | This record from Alexandria via LeMat-Bulk describes a relaxed structure of P2PbClO. The functional is PBE-GGA.

Cell lengths 4.9953, 4.9953, 4.4994 Å; angles 90.00, 90.00, 90.00 degrees
Last column: nearest neighbours and their distance in Å.
Sites, in units of the cell vectors:
Cl 0.0000 0.0000 0.0000  2 O 2.25, 4 P 2.50
P 0.5000 0.0000 0.0000  2 Cl 2.50
P 0.0000 0.5000 0.0000  2 Cl 2.50
O 0.0000 0.0000 0.5000  2 Cl 2.25
Pb 0.5000 0.5000 0.5000  8 P 3.36, 4 O 3.53

Computed properties:
As for the total magnetization: 1.85 μB per formula unit.

---

iii | This record from Alexandria via LeMat-Bulk describes a relaxed structure of P2PbClO. The functional is PBE-GGA.

Cell lengths 5.4792, 5.4792, 4.2347 Å; angles 90.00, 90.00, 90.00 degrees
Last column: nearest neighbours and their distance in Å.
Sites, in units of the cell vectors:
P 0.0000 0.5000 0.0000  2 Pb 2.74
P 0.5000 0.0000 0.0000  2 Pb 2.74
Cl 0.5000 0.5000 0.5000  8 P 3.46, 4 O 3.87
Pb 0.0000 0.0000 0.0000  2 O 2.12
O 0.0000 0.0000 0.5000  2 Pb 2.12

Computed properties:
As for the total magnetization: 2.90 μB per formula unit.

---

iv | This record from Alexandria via LeMat-Bulk describes a relaxed structure of P2PbClO. The functional is PBE-GGA.

Cell lengths 5.5207, 5.5207, 5.4292 Å; angles 90.00, 90.00, 90.00 degrees
Last column: nearest neighbours and their distance in Å.
Sites, in units of the cell vectors:
P 0.5000 0.0000 0.0000  2 Pb 2.76
P 0.0000 0.5000 0.0000  2 Pb 2.76
Cl 0.0000 0.0000 0.5000  2 Pb 2.71
O 0.5000 0.5000 0.5000  8 P 3.87, 4 Cl 3.90
Pb 0.0000 0.0000 0.0000  2 Cl 2.71, 4 P 2.76

Computed properties:
As for the total magnetization: 3.15 μB per formula unit.

---

Decreasing stability: i, iii, ii, iv

---

i | This record from Alexandria via LeMat-Bulk describes a relaxed structure of PPbCl2O. The functional is PBE-GGA.

Cell lengths 5.4641, 5.4641, 5.5627 Å; angles 90.00, 90.00, 90.00 degrees
Last column: nearest neighbours and their distance in Å.
Sites, in units of the cell vectors:
O 0.5000 0.5000 0.5000  4 P 3.86, 8 Cl 3.90
P 0.0000 0.0000 0.5000  2 Pb 2.78
Pb 0.0000 0.0000 0.0000  4 Cl 2.73, 2 P 2.78
Cl 0.0000 0.5000 0.0000  2 Pb 2.73
Cl 0.5000 0.0000 0.0000  2 Pb 2.73

Computed properties:
As for the total magnetization: 1.74 μB per formula unit.

---

ii | This record from Alexandria via LeMat-Bulk describes a relaxed structure of PPbCl2O. The functional is PBE-GGA.

Cell lengths 6.0605, 6.0605, 3.4992 Å; angles 90.00, 90.00, 90.00 degrees
Last column: nearest neighbours and their distance in Å.
Sites, in units of the cell vectors:
Cl 0.5000 0.0000 0.0000  2 O 3.03
Cl 0.0000 0.5000 0.0000  2 O 3.03
O 0.0000 0.0000 0.0000  2 P 1.75
P 0.0000 0.0000 0.5000  2 O 1.75
Pb 0.5000 0.5000 0.5000  8 Cl 3.50, 2 Pb 3.50

Computed properties:
As for the total magnetization: 0.40 μB per formula unit.

---

Decreasing stability: ii, i